[1]
Density functional theory data (GGA-PBE) for an optimized crystal structure of SrNiMo2.

Results
energy relative to the elements = 1.28 eV per atom
space group = Fm-3m
raw total energy = -24.0 eV per cell
E above lowest polymorph = 827 meV/atom

Lattice parameters (Å, degrees): 4.596 4.596 4.596 60.00 60.00 60.00
Fractional coordinates of all 4 atoms:
Sr: 0.000 0.000 0.000
Ni: 0.500 0.500 0.500
Mo: 0.250 0.250 0.250
Mo: 0.750 0.750 0.750



[2]
Density functional theory data (GGA-PBE) for an optimized crystal structure of Cs2Na15Tl2.

Results
energy relative to the elements = 0.00 eV per atom
space group = R-3m
raw total energy = -26.2 eV per cell

Lattice parameters (Å, degrees): 9.275 9.275 9.275 83.60 83.60 83.60
Fractional coordinates of all 19 atoms:
Cs: 0.157 0.157 0.157
Cs: 0.843 0.843 0.843
Na: 0.000 0.500 0.500
Na: 0.158 0.158 0.629
Na: 0.158 0.629 0.158
Na: 0.226 0.500 0.774
Na: 0.226 0.774 0.500
Na: 0.371 0.842 0.842
Na: 0.500 0.000 0.500
Na: 0.500 0.226 0.774
Na: 0.500 0.500 0.000
Na: 0.500 0.774 0.226
Na: 0.629 0.158 0.158
Na: 0.774 0.226 0.500
Na: 0.774 0.500 0.226
Na: 0.842 0.371 0.842
Na: 0.842 0.842 0.371
Tl: 0.406 0.406 0.406
Tl: 0.594 0.594 0.594



[3]
Density functional theory data (GGA-PBE) for an optimized crystal structure of ScRe2Ir.

Results
energy relative to the elements = -0.08 eV per atom
space group = Immm
raw total energy = -40.4 eV per cell
E above lowest polymorph = 65 meV/atom

Lattice parameters (Å, degrees): 5.227 5.227 5.227 142.73 132.26 62.07
Fractional coordinates of all 4 atoms:
Sc: 0.000 0.000 0.000
Re: 0.249 0.749 0.500
Re: 0.751 0.251 0.500
Ir: 0.500 0.500 0.000



[4]
Density functional theory data (GGA-PBE) for an optimized crystal structure of LaSb2Au.

Results
E_form (uncorrected) = -35 kJ per mole of atoms
space group = Fm-3m
raw total energy = -17.9 eV per cell

Lattice parameters (Å, degrees): 5.312 5.312 5.312 60.00 60.00 60.00
Fractional coordinates of all 4 atoms:
La: 0.000 0.000 0.000
Sb: 0.250 0.250 0.250
Sb: 0.750 0.750 0.750
Au: 0.500 0.500 0.500



[5]
Density functional theory data (GGA-PBE) for an optimized crystal structure of Ti2Ge2B.

Results
energy relative to the elements = 0.11 eV per atom
space group = P4/mbm
raw total energy = -62.3 eV per cell
E above lowest polymorph = 0 meV/atom

Lattice parameters (Å, degrees): 6.089 6.089 3.916 90.00 90.00 90.00
Fractional coordinates of all 10 atoms:
Ti: 0.164 0.336 0.000
Ti: 0.336 0.836 0.000
Ti: 0.664 0.164 0.000
Ti: 0.836 0.664 0.000
Ge: 0.148 0.648 0.500
Ge: 0.352 0.148 0.500
Ge: 0.648 0.852 0.500
Ge: 0.852 0.352 0.500
B: 0.000 0.000 0.500
B: 0.500 0.500 0.500



[6]
Density functional theory data (GGA-PBE) for an optimized crystal structure of Mg2CuSi4Pt3.

Results
E_form (uncorrected) = -50 kJ per mole of atoms
space group = P-4m2
raw total energy = -52.2 eV per cell

Lattice parameters (Å, degrees): 3.912 3.912 10.638 90.00 90.00 90.00
Fractional coordinates of all 10 atoms:
Mg: 0.000 0.500 0.235
Mg: 0.500 0.000 0.765
Cu: 0.500 0.500 0.000
Si: 0.000 0.000 0.500
Si: 0.000 0.500 0.864
Si: 0.500 0.000 0.136
Si: 0.500 0.500 0.500
Pt: 0.000 0.000 0.000
Pt: 0.000 0.500 0.639
Pt: 0.500 0.000 0.361



[7]
Density functional theory data (GGA-PBE) for an optimized crystal structure of K3SiO3.

Results
E_form (uncorrected) = -170 kJ per mole of atoms
space group = P6_3/mmc
raw total energy = -71.8 eV per cell
E above lowest polymorph = 97 meV/atom

Lattice parameters (Å, degrees): 8.122 8.122 5.580 90.00 90.00 120.00
Fractional coordinates of all 14 atoms:
K: 0.173 0.345 0.250
K: 0.173 0.827 0.250
K: 0.345 0.173 0.750
K: 0.655 0.827 0.250
K: 0.827 0.173 0.750
K: 0.827 0.655 0.750
Si: 0.333 0.667 0.750
Si: 0.667 0.333 0.250
O: 0.219 0.438 0.750
O: 0.219 0.781 0.750
O: 0.438 0.219 0.250
O: 0.562 0.781 0.750
O: 0.781 0.219 0.250
O: 0.781 0.562 0.250



[8]
Density functional theory data (GGA-PBE) for an optimized crystal structure of TiGaH.

Results
space group = Pnma
raw total energy = -59.9 eV per cell
E above lowest polymorph = 188 meV/atom

Lattice parameters (Å, degrees): 4.837 2.913 10.417 90.00 90.00 90.00
Fractional coordinates of all 12 atoms:
Ti: 0.249 0.250 0.195
Ti: 0.251 0.750 0.695
Ti: 0.749 0.250 0.305
Ti: 0.751 0.750 0.805
Ga: 0.250 0.250 0.463
Ga: 0.250 0.750 0.963
Ga: 0.750 0.250 0.037
Ga: 0.750 0.750 0.537
H: 0.001 0.250 0.750
H: 0.499 0.750 0.250
H: 0.501 0.250 0.750
H: 0.999 0.750 0.250



[9]
Density functional theory data (GGA-PBE) for an optimized crystal structure of Hf2ScIn.

Results
energy relative to the elements = -0.15 eV per atom
space group = P4/mmm
raw total energy = -29.6 eV per cell

Lattice parameters (Å, degrees): 4.410 4.410 4.510 90.00 90.00 90.00
Fractional coordinates of all 4 atoms:
Hf: 0.000 0.500 0.000
Hf: 0.500 0.000 0.000
Sc: 0.000 0.000 0.500
In: 0.500 0.500 0.500



[10]
Density functional theory data (GGA-PBE) for an optimized crystal structure of TaIn2Ga2.

Results
energy relative to the elements = 0.26 eV per atom
space group = P4/mbm
raw total energy = -44.2 eV per cell

Lattice parameters (Å, degrees): 7.134 7.134 3.936 90.00 90.00 90.00
Fractional coordinates of all 10 atoms:
Ta: 0.000 0.000 0.000
Ta: 0.500 0.500 0.000
In: 0.164 0.336 0.500
In: 0.336 0.836 0.500
In: 0.664 0.164 0.500
In: 0.836 0.664 0.500
Ga: 0.142 0.642 0.000
Ga: 0.358 0.142 0.000
Ga: 0.642 0.858 0.000
Ga: 0.858 0.358 0.000



[11]
Density functional theory data (GGA-PBE) for an optimized crystal structure of CdInMo4.

Results
energy relative to the elements = 0.48 eV per atom
space group = F-43m
raw total energy = -44.1 eV per cell

Lattice parameters (Å, degrees): 5.362 5.362 5.362 60.00 60.00 60.00
Fractional coordinates of all 6 atoms:
Cd: 0.000 0.000 0.000
In: 0.750 0.750 0.750
Mo: 0.374 0.374 0.374
Mo: 0.374 0.374 0.878
Mo: 0.374 0.878 0.374
Mo: 0.878 0.374 0.374



[12]
Density functional theory data (GGA-PBE) for an optimized crystal structure of TmZn6Fe6.

Results
energy relative to the elements = -0.06 eV per atom
space group = Immm
raw total energy = -63.7 eV per cell

Lattice parameters (Å, degrees): 6.563 6.563 6.563 135.92 98.62 97.57
Fractional coordinates of all 13 atoms:
Tm: 0.000 0.000 0.000
Zn: 0.203 0.500 0.703
Zn: 0.339 0.339 0.000
Zn: 0.349 0.000 0.349
Zn: 0.651 0.000 0.651
Zn: 0.661 0.661 0.000
Zn: 0.797 0.500 0.297
Fe: 0.000 0.000 0.500
Fe: 0.000 0.500 0.000
Fe: 0.227 0.727 0.500
Fe: 0.500 0.000 0.000
Fe: 0.500 0.500 0.500
Fe: 0.773 0.273 0.500



[13]
Density functional theory data (GGA-PBE) for an optimized crystal structure of BaCaGa2Co.

Results
energy relative to the elements = -0.22 eV per atom
space group = P4/mmm
raw total energy = -18.2 eV per cell

Lattice parameters (Å, degrees): 4.831 4.831 5.148 90.00 90.00 90.00
Fractional coordinates of all 5 atoms:
Ba: 0.000 0.000 0.000
Ca: 0.500 0.500 0.000
Ga: 0.000 0.500 0.500
Ga: 0.500 0.000 0.500
Co: 0.500 0.500 0.500



[14]
Density functional theory data (GGA-PBE) for an optimized crystal structure of TlCd2I.

Results
E_form (uncorrected) = -9 kJ per mole of atoms
space group = I-42d
raw total energy = -12.3 eV per cell
E above lowest polymorph = 0 meV/atom

Lattice parameters (Å, degrees): 7.172 7.172 7.172 102.39 102.39 124.82
Fractional coordinates of all 8 atoms:
Tl: 0.000 0.000 0.000
Tl: 0.750 0.250 0.500
Cd: 0.114 0.625 0.989
Cd: 0.375 0.364 0.489
Cd: 0.636 0.125 0.011
Cd: 0.875 0.886 0.511
I: 0.250 0.750 0.500
I: 0.500 0.500 0.000



[15]
Density functional theory data (GGA-PBE) for an optimized crystal structure of KIrRu.

Results
energy relative to the elements = 0.95 eV per atom
space group = Fmm2
raw total energy = -16.4 eV per cell
E above lowest polymorph = 510 meV/atom

Lattice parameters (Å, degrees): 8.327 8.103 2.784 84.84 75.71 19.45
Fractional coordinates of all 3 atoms:
K: 0.000 0.000 0.000
Ir: 0.678 0.678 0.322
Ru: 0.315 0.315 0.685



[16]
Density functional theory data (GGA-PBE) for an optimized crystal structure of BeHg2Mo.

Results
energy relative to the elements = 0.80 eV per atom
space group = I-4m2
raw total energy = -12.0 eV per cell

Lattice parameters (Å, degrees): 5.143 5.143 5.143 133.79 133.79 67.41
Fractional coordinates of all 4 atoms:
Be: 0.000 0.000 0.000
Hg: 0.250 0.750 0.500
Hg: 0.500 0.500 0.000
Mo: 0.750 0.250 0.500



[17]
Density functional theory data (GGA-PBE) for an optimized crystal structure of SrPmNi.

Results
energy relative to the elements = -0.05 eV per atom
space group = I4mm
raw total energy = -12.4 eV per cell
E above lowest polymorph = 0 meV/atom

Lattice parameters (Å, degrees): 7.229 7.229 7.229 151.18 151.18 41.22
Fractional coordinates of all 3 atoms:
Sr: 0.000 0.000 0.000
Pm: 0.253 0.253 0.000
Ni: 0.651 0.651 0.000



[18]
Density functional theory data (GGA-PBE) for an optimized crystal structure of Pm4PNCl2.

Results
E_form (uncorrected) = -149 kJ per mole of atoms
space group = P2/m
raw total energy = -48.8 eV per cell

Lattice parameters (Å, degrees): 6.831 3.875 7.280 90.00 108.23 90.00
Fractional coordinates of all 8 atoms:
Pm: 0.208 0.000 0.195
Pm: 0.230 0.500 0.799
Pm: 0.770 0.500 0.201
Pm: 0.792 0.000 0.805
P: 0.500 0.000 0.000
N: 0.000 0.500 0.000
Cl: 0.000 0.000 0.500
Cl: 0.500 0.500 0.500



[19]
Density functional theory data (GGA-PBE) for an optimized crystal structure of RbCuPb3.

Results
energy relative to the elements = 1.50 eV per atom
space group = Pm-3m
raw total energy = -8.7 eV per cell
E above lowest polymorph = 1353 meV/atom

Lattice parameters (Å, degrees): 6.251 6.251 6.251 90.00 90.00 90.00
Fractional coordinates of all 5 atoms:
Rb: 0.000 0.000 0.000
Cu: 0.500 0.500 0.500
Pb: 0.000 0.000 0.500
Pb: 0.000 0.500 0.000
Pb: 0.500 0.000 0.000



[20]
Density functional theory data (GGA-PBE) for an optimized crystal structure of MnZnN.

Results
E_form (uncorrected) = 0 kJ per mole of atoms
space group = Pnma
raw total energy = -75.0 eV per cell
E above lowest polymorph = 147 meV/atom

Lattice parameters (Å, degrees): 17.942 2.721 2.887 90.00 90.00 90.00
Fractional coordinates of all 12 atoms:
Mn: 0.191 0.250 0.240
Mn: 0.309 0.750 0.740
Mn: 0.691 0.250 0.260
Mn: 0.809 0.750 0.760
Zn: 0.052 0.750 0.250
Zn: 0.448 0.250 0.750
Zn: 0.552 0.750 0.250
Zn: 0.948 0.250 0.750
N: 0.194 0.750 0.740
N: 0.306 0.250 0.240
N: 0.694 0.750 0.760
N: 0.806 0.250 0.260



[21]
Density functional theory data (GGA-PBE) for an optimized crystal structure of ReP2Se.

Results
E_form (uncorrected) = 44 kJ per mole of atoms
space group = Pmmm
raw total energy = -24.9 eV per cell

Lattice parameters (Å, degrees): 2.549 4.504 5.928 90.00 90.00 90.00
Fractional coordinates of all 4 atoms:
Re: 0.000 0.000 0.000
P: 0.000 0.500 0.195
P: 0.000 0.500 0.805
Se: 0.000 0.000 0.500



[22]
Density functional theory data (GGA-PBE) for an optimized crystal structure of Cs4AgHg2Sb2.

Results
E_form (uncorrected) = -27 kJ per mole of atoms
space group = C2/m
raw total energy = -17.6 eV per cell

Lattice parameters (Å, degrees): 9.206 9.206 5.375 95.38 95.38 71.22
Fractional coordinates of all 9 atoms:
Cs: 0.116 0.641 0.787
Cs: 0.359 0.884 0.213
Cs: 0.641 0.116 0.787
Cs: 0.884 0.359 0.213
Ag: 0.500 0.500 0.500
Hg: 0.208 0.208 0.740
Hg: 0.792 0.792 0.260
Sb: 0.326 0.326 0.287
Sb: 0.674 0.674 0.713



[23]
Density functional theory data (GGA-PBE) for an optimized crystal structure of SrLiSn2Rh2.

Results
energy relative to the elements = -0.41 eV per atom
space group = P4/mmm
raw total energy = -28.8 eV per cell

Lattice parameters (Å, degrees): 4.561 4.561 6.066 90.00 90.00 90.00
Fractional coordinates of all 6 atoms:
Sr: 0.000 0.000 0.000
Li: 0.000 0.000 0.500
Sn: 0.500 0.500 0.246
Sn: 0.500 0.500 0.754
Rh: 0.000 0.500 0.500
Rh: 0.500 0.000 0.500



[24]
Density functional theory data (GGA-PBE) for an optimized crystal structure of LiAlGaFe2.

Results
energy relative to the elements = 0.70 eV per atom
space group = P4/mmm
raw total energy = -22.1 eV per cell

Lattice parameters (Å, degrees): 4.109 4.109 4.233 90.00 90.00 90.00
Fractional coordinates of all 5 atoms:
Li: 0.000 0.000 0.000
Al: 0.500 0.500 0.500
Ga: 0.000 0.000 0.500
Fe: 0.000 0.500 0.000
Fe: 0.500 0.000 0.000



[25]
Density functional theory data (GGA-PBE) for an optimized crystal structure of ZrIn.

Results
energy relative to the elements = -0.18 eV per atom
space group = P6_3/mmc
raw total energy = -23.3 eV per cell

Lattice parameters (Å, degrees): 3.217 3.217 10.330 90.00 90.00 120.00
Fractional coordinates of all 4 atoms:
Zr: 0.000 0.000 0.000
Zr: 0.000 0.000 0.500
In: 0.333 0.667 0.250
In: 0.667 0.333 0.750